Entry 1:
The following is a DFT calculation (PBE-GGA) of CrRe3Ge after structural relaxation.

Values from the calculation:
M_tot = 0.0 μB/f.u.
energy of formation from the pure elements = 1.689 eV per atom
final energy = -43.14 eV/cell
mass density = 12.70 g/cm³

a b c (Å): 4.4707 4.4707 4.4707
angles (deg): 90.00 90.00 90.00
Space group Pm-3m (No. 221)
Asymmetric unit:
Cr: 0.0000 0.0000 0.0000 [1 per cell]
Re: 0.0000 0.0000 0.5000 [3 per cell]
Ge: 0.5000 0.5000 0.5000 [1 per cell]


Entry 2:
The following is a DFT calculation (PBE-GGA) of Cr2ReGeRh after structural relaxation.

Values from the calculation:
M_tot = 5.3 μB/f.u.
energy of formation from the pure elements = 1.257 eV per atom
final energy = -37.38 eV/cell
mass density = 7.79 g/cm³

a b c (Å): 4.5967 4.5967 4.7013
angles (deg): 90.00 90.00 90.00
Space group P4/mmm (No. 123)
Asymmetric unit:
Cr: 0.0000 0.5000 0.0000 [2 per cell]
Re: 0.0000 0.0000 0.0000 [1 per cell]
Ge: 0.0000 0.0000 0.5000 [1 per cell]
Rh: 0.5000 0.5000 0.5000 [1 per cell]


Entry 3:
The following is a DFT calculation (PBE-GGA) of CrReGeRu after structural relaxation.

Values from the calculation:
M_tot = 1.4 μB/f.u.
energy of formation from the pure elements = 0.004 eV per atom
final energy = -143.79 eV/cell
mass density = 12.40 g/cm³

a b c (Å): 6.0427 6.0427 6.0427
angles (deg): 90.00 90.00 90.00
Space group F-43m (No. 216)
Asymmetric unit:
Cr: 0.0000 0.0000 0.0000 [4 per cell]
Re: 0.2500 0.2500 0.2500 [4 per cell]
Ge: 0.0000 0.0000 0.5000 [4 per cell]
Ru: 0.2500 0.2500 0.7500 [4 per cell]


Entry 4:
The following is a DFT calculation (PBE-GGA) of TaCrRe2Ge after structural relaxation.

Values from the calculation:
M_tot = 0.0 μB/f.u.
energy of formation from the pure elements = 1.372 eV per atom
final energy = -44.13 eV/cell
mass density = 12.27 g/cm³

a b c (Å): 4.4723 4.4723 4.5880
angles (deg): 90.00 90.00 90.00
Space group P4/mmm (No. 123)
Asymmetric unit:
Ta: 0.0000 0.0000 0.0000 [1 per cell]
Cr: 0.0000 0.0000 0.5000 [1 per cell]
Re: 0.0000 0.5000 0.5000 [2 per cell]
Ge: 0.5000 0.5000 0.0000 [1 per cell]


Entry 5:
The following is a DFT calculation (PBE-GGA) of CrRe2TcGe after structural relaxation.

Values from the calculation:
M_tot = 0.0 μB/f.u.
energy of formation from the pure elements = 1.847 eV per atom
final energy = -40.27 eV/cell
mass density = 11.09 g/cm³

a b c (Å): 4.4824 4.4824 4.4327
angles (deg): 90.00 90.00 90.00
Space group P4/mmm (No. 123)
Asymmetric unit:
Cr: 0.0000 0.0000 0.0000 [1 per cell]
Re: 0.0000 0.5000 0.5000 [2 per cell]
Tc: 0.5000 0.5000 0.0000 [1 per cell]
Ge: 0.5000 0.5000 0.5000 [1 per cell]


Entry 6:
The following is a DFT calculation (PBE-GGA) of Zr2CrReGe after structural relaxation.

Values from the calculation:
M_tot = 4.1 μB/f.u.
energy of formation from the pure elements = 0.885 eV per atom
final energy = -39.36 eV/cell
mass density = 7.22 g/cm³

a b c (Å): 5.0005 5.0005 4.5364
angles (deg): 90.00 90.00 90.00
Space group P4/mmm (No. 123)
Asymmetric unit:
Zr: 0.0000 0.5000 0.0000 [2 per cell]
Cr: 0.0000 0.0000 0.5000 [1 per cell]
Re: 0.5000 0.5000 0.5000 [1 per cell]
Ge: 0.5000 0.5000 0.0000 [1 per cell]


Entry 7:
The following is a DFT calculation (PBE-GGA) of Cr3GeRh after structural relaxation.

Values from the calculation:
M_tot = 10.4 μB/f.u.
offset from the most stable computed form = 0.000 eV/atom
energy of formation from the pure elements = 1.193 eV per atom
final energy = -34.87 eV/cell
mass density = 5.30 g/cm³

a b c (Å): 4.7004 4.7004 4.7004
angles (deg): 90.00 90.00 90.00
Space group Pm-3m (No. 221)
Asymmetric unit:
Cr: 0.0000 0.0000 0.5000 [3 per cell]
Ge: 0.5000 0.5000 0.5000 [1 per cell]
Rh: 0.0000 0.0000 0.0000 [1 per cell]


Entry 8:
The following is a DFT calculation (PBE-GGA) of CrGeRh2 after structural relaxation.

Values from the calculation:
M_tot = 1.3 μB/f.u.
energy of formation from the pure elements = 0.493 eV per atom
final energy = -107.89 eV/cell
mass density = 6.91 g/cm³

a b c (Å): 5.3547 5.3547 11.0790
angles (deg): 90.00 90.00 90.00
Space group I-42d (No. 122)
Asymmetric unit:
Cr: 0.0000 0.0000 0.0000 [4 per cell]
Ge: 0.0000 0.0000 0.5000 [4 per cell]
Rh: 0.2343 0.2500 0.1250 [8 per cell]


Entry 9:
The following is a DFT calculation (PBE-GGA) of CrGe2Rh after structural relaxation.

Values from the calculation:
M_tot = 3.1 μB/f.u.
offset from the most stable computed form = 0.285 eV/atom
energy of formation from the pure elements = 0.145 eV per atom
final energy = -102.51 eV/cell
mass density = 7.60 g/cm³

a b c (Å): 6.8405 6.8405 5.6095
angles (deg): 90.00 90.00 90.00
Space group I-42d (No. 122)
Asymmetric unit:
Cr: 0.0000 0.0000 0.0000 [4 per cell]
Ge: 0.2379 0.7500 0.6250 [8 per cell]
Rh: 0.0000 0.0000 0.5000 [4 per cell]


Entry 10:
The following is a DFT calculation (PBE-GGA) of Cr3GeRh after structural relaxation.

Values from the calculation:
M_tot = 10.8 μB/f.u.
offset from the most stable computed form = 0.044 eV/atom
energy of formation from the pure elements = 1.237 eV per atom
final energy = -34.65 eV/cell
mass density = 5.69 g/cm³

a b c (Å): 4.5919 4.5919 4.5919
angles (deg): 90.00 90.00 90.00
Space group Pm-3m (No. 221)
Asymmetric unit:
Cr: 0.0000 0.0000 0.5000 [3 per cell]
Ge: 0.0000 0.0000 0.0000 [1 per cell]
Rh: 0.5000 0.5000 0.5000 [1 per cell]


Entry 11:
The following is a DFT calculation (PBE-GGA) of Cr5GeRh6 after structural relaxation.

Values from the calculation:
M_tot = 1.4 μB/f.u.
energy of formation from the pure elements = -0.164 eV per atom
final energy = -197.62 eV/cell
mass density = 9.69 g/cm³

a b c (Å): 3.8870 7.1803 11.6727
angles (deg): 90.00 90.00 90.00
Space group Immm (No. 71)
Asymmetric unit:
Cr: 0.0000 0.0000 0.0000 [2 per cell]
Cr: 0.0000 0.0000 0.3131 [4 per cell]
Cr: 0.0000 0.5000 0.3459 [4 per cell]
Ge: 0.0000 0.5000 0.0000 [2 per cell]
Rh: 0.0000 0.2276 0.5000 [4 per cell]
Rh: 0.0000 0.2589 0.1682 [8 per cell]


Entry 12:
The following is a DFT calculation (PBE-GGA) of Cr2GeRh2 after structural relaxation.

Values from the calculation:
M_tot = 4.0 μB/f.u.
energy of formation from the pure elements = 0.126 eV per atom
final energy = -75.88 eV/cell
mass density = 8.68 g/cm³

a b c (Å): 7.1960 7.1960 2.8244
angles (deg): 90.00 90.00 90.00
Space group P4/mbm (No. 127)
Asymmetric unit:
Cr: 0.1644 0.3356 0.0000 [4 per cell]
Ge: 0.0000 0.0000 0.5000 [2 per cell]
Rh: 0.1331 0.6331 0.5000 [4 per cell]


Entry 13:
The following is a DFT calculation (PBE-GGA) of Cr2GeRh8 after structural relaxation.

Values from the calculation:
M_tot = 0.0 μB/f.u.
energy of formation from the pure elements = -0.060 eV per atom
final energy = -166.68 eV/cell
mass density = 10.68 g/cm³

a b c (Å): 4.0451 7.0279 10.9380
angles (deg): 90.00 90.00 90.00
Space group Immm (No. 71)
Asymmetric unit:
Cr: 0.0000 0.0000 0.2025 [4 per cell]
Ge: 0.0000 0.0000 0.5000 [2 per cell]
Rh: 0.0000 0.1783 0.0000 [4 per cell]
Rh: 0.0000 0.2865 0.3419 [8 per cell]
Rh: 0.0000 0.5000 0.1400 [4 per cell]


Entry 14:
The following is a DFT calculation (PBE-GGA) of CrGeRh2 after structural relaxation.

Values from the calculation:
M_tot = 1.0 μB/f.u.
energy of formation from the pure elements = -0.153 eV per atom
final energy = -29.55 eV/cell
mass density = 10.00 g/cm³

a b c (Å): 2.7830 2.7830 7.0834
angles (deg): 90.00 90.00 90.00
Space group P4/mmm (No. 123)
Asymmetric unit:
Cr: 0.0000 0.0000 0.0000 [1 per cell]
Ge: 0.0000 0.0000 0.5000 [1 per cell]
Rh: 0.5000 0.5000 0.2503 [2 per cell]


Entry 15:
The following is a DFT calculation (PBE-GGA) of Cr2Ge2Rh after structural relaxation.

Values from the calculation:
M_tot = 0.0 μB/f.u.
energy of formation from the pure elements = 0.098 eV per atom
final energy = -70.68 eV/cell
mass density = 8.49 g/cm³

a b c (Å): 6.4549 6.4549 3.3044
angles (deg): 90.00 90.00 90.00
Space group P4/mbm (No. 127)
Asymmetric unit:
Cr: 0.1581 0.3419 0.0000 [4 per cell]
Ge: 0.1414 0.6414 0.5000 [4 per cell]
Rh: 0.0000 0.0000 0.5000 [2 per cell]


Entry 16:
The following is a DFT calculation (PBE-GGA) of CrGeRh2 after structural relaxation.

Values from the calculation:
M_tot = 3.5 μB/f.u.
energy of formation from the pure elements = -0.284 eV per atom
final energy = -30.08 eV/cell
mass density = 9.71 g/cm³

a b c (Å): 4.0278 4.0278 3.4850
angles (deg): 90.00 90.00 90.00
Space group P4/mmm (No. 123)
Asymmetric unit:
Cr: 0.0000 0.0000 0.0000 [1 per cell]
Ge: 0.5000 0.5000 0.0000 [1 per cell]
Rh: 0.0000 0.5000 0.5000 [2 per cell]


Entry 17:
The following is a DFT calculation (PBE-GGA) of CrGe2Rh after structural relaxation.

Values from the calculation:
M_tot = 1.2 μB/f.u.
offset from the most stable computed form = 0.000 eV/atom
energy of formation from the pure elements = -0.139 eV per atom
final energy = -26.77 eV/cell
mass density = 8.91 g/cm³

a b c (Å): 4.3068 4.3068 3.0165
angles (deg): 90.00 90.00 90.00
Space group P4/mmm (No. 123)
Asymmetric unit:
Cr: 0.0000 0.0000 0.0000 [1 per cell]
Ge: 0.0000 0.5000 0.5000 [2 per cell]
Rh: 0.5000 0.5000 0.0000 [1 per cell]


Entry 18:
The following is a DFT calculation (PBE-GGA) of CrGeRh3 after structural relaxation.

Values from the calculation:
M_tot = 0.0 μB/f.u.
offset from the most stable computed form = 0.000 eV/atom
energy of formation from the pure elements = 0.825 eV per atom
final energy = -32.17 eV/cell
mass density = 8.08 g/cm³

a b c (Å): 4.4657 4.4657 4.4657
angles (deg): 90.00 90.00 90.00
Space group Pm-3m (No. 221)
Asymmetric unit:
Cr: 0.0000 0.0000 0.0000 [1 per cell]
Ge: 0.5000 0.5000 0.5000 [1 per cell]
Rh: 0.0000 0.0000 0.5000 [3 per cell]


Entry 19:
The following is a DFT calculation (PBE-GGA) of CrGe2Rh4 after structural relaxation.

Values from the calculation:
M_tot = 2.7 μB/f.u.
energy of formation from the pure elements = -0.373 eV per atom
final energy = -152.62 eV/cell
mass density = 9.69 g/cm³

a b c (Å): 4.1950 4.1950 20.5499
angles (deg): 90.00 90.00 120.00
Space group R-3m (No. 166, hexagonal axes)
Asymmetric unit:
Cr: 0.0000 0.0000 0.0000 [3 per cell]
Ge: 0.0000 0.0000 0.2463 [6 per cell]
Rh: 0.0000 0.0000 0.1245 [6 per cell]
Rh: 0.0000 0.0000 0.3743 [6 per cell]


Entry 20:
The following is a DFT calculation (PBE-GGA) of Cr2GeRh after structural relaxation.

Values from the calculation:
M_tot = 0.0 μB/f.u.
energy of formation from the pure elements = 0.489 eV per atom
final energy = -117.04 eV/cell
mass density = 8.16 g/cm³

a b c (Å): 6.7386 6.7386 5.0083
angles (deg): 90.00 90.00 90.00
Space group I-42d (No. 122)
Asymmetric unit:
Cr: 0.2480 0.2500 0.1250 [8 per cell]
Ge: 0.0000 0.0000 0.5000 [4 per cell]
Rh: 0.0000 0.0000 0.0000 [4 per cell]


Entry 21:
The following is a DFT calculation (PBE-GGA) of CrGe2Rh after structural relaxation.

Values from the calculation:
M_tot = 2.7 μB/f.u.
offset from the most stable computed form = 0.326 eV/atom
energy of formation from the pure elements = 0.187 eV per atom
final energy = -76.38 eV/cell
mass density = 7.56 g/cm³

a b c (Å): 2.9423 2.9423 26.3771
angles (deg): 90.00 90.00 120.00
Space group R-3m (No. 166, hexagonal axes)
Asymmetric unit:
Cr: 0.0000 0.0000 0.0000 [3 per cell]
Ge: 0.0000 0.0000 0.0932 [6 per cell]
Rh: 0.0000 0.0000 0.5000 [3 per cell]


Entry 22:
The following is a DFT calculation (PBE-GGA) of CrGe2Rh2 after structural relaxation.

Values from the calculation:
M_tot = 0.0 μB/f.u.
energy of formation from the pure elements = -0.089 eV per atom
final energy = -68.01 eV/cell
mass density = 9.31 g/cm³

a b c (Å): 7.1481 7.1481 2.8151
angles (deg): 90.00 90.00 90.00
Space group P4/mbm (No. 127)
Asymmetric unit:
Cr: 0.0000 0.0000 0.0000 [2 per cell]
Ge: 0.1542 0.3458 0.0000 [4 per cell]
Rh: 0.1469 0.6469 0.5000 [4 per cell]


Entry 23:
The following is a DFT calculation (PBE-GGA) of CrGeRh3 after structural relaxation.

Values from the calculation:
M_tot = 0.5 μB/f.u.
offset from the most stable computed form = 0.165 eV/atom
energy of formation from the pure elements = 0.990 eV per atom
final energy = -31.35 eV/cell
mass density = 8.02 g/cm³

a b c (Å): 4.4770 4.4770 4.4770
angles (deg): 90.00 90.00 90.00
Space group Pm-3m (No. 221)
Asymmetric unit:
Cr: 0.0000 0.0000 0.0000 [1 per cell]
Ge: 0.5000 0.5000 0.5000 [1 per cell]
Rh: 0.0000 0.5000 0.5000 [3 per cell]


Entry 24:
The following is a DFT calculation (PBE-GGA) of CrGe2Rh after structural relaxation.

Values from the calculation:
M_tot = 0.6 μB/f.u.
offset from the most stable computed form = 0.062 eV/atom
energy of formation from the pure elements = -0.077 eV per atom
final energy = -106.07 eV/cell
mass density = 8.98 g/cm³

a b c (Å): 6.0554 6.0554 6.0554
angles (deg): 90.00 90.00 90.00
Space group Fm-3m (No. 225)
Asymmetric unit:
Cr: 0.0000 0.0000 0.0000 [4 per cell]
Ge: 0.2500 0.2500 0.2500 [8 per cell]
Rh: 0.0000 0.0000 0.5000 [4 per cell]


Entry 25:
The following is a DFT calculation (PBE-GGA) of Cr2GeRuRh after structural relaxation.

Values from the calculation:
M_tot = 5.6 μB/f.u.
energy of formation from the pure elements = 1.233 eV per atom
final energy = -34.33 eV/cell
mass density = 6.44 g/cm³

a b c (Å): 4.6384 4.6384 4.5580
angles (deg): 90.00 90.00 90.00
Space group P4/mmm (No. 123)
Asymmetric unit:
Cr: 0.0000 0.5000 0.0000 [2 per cell]
Ge: 0.0000 0.0000 0.5000 [1 per cell]
Ru: 0.5000 0.5000 0.5000 [1 per cell]
Rh: 0.0000 0.0000 0.0000 [1 per cell]


Entry 26:
The following is a DFT calculation (PBE-GGA) of CrSiGeRh2 after structural relaxation.

Values from the calculation:
formation energy without anion corrections = 79.33 kJ/mol of atoms
M_tot = 3.3 μB/f.u.
final energy = -30.26 eV/cell
mass density = 6.36 g/cm³

a b c (Å): 4.5265 4.5265 4.5695
angles (deg): 90.00 90.00 90.00
Space group P4/mmm (No. 123)
Asymmetric unit:
Cr: 0.0000 0.0000 0.0000 [1 per cell]
Si: 0.5000 0.5000 0.0000 [1 per cell]
Ge: 0.0000 0.0000 0.5000 [1 per cell]
Rh: 0.0000 0.5000 0.5000 [2 per cell]


Entry 27:
The following is a DFT calculation (PBE-GGA) of TiCrGeRh after structural relaxation.

Values from the calculation:
M_tot = 1.0 μB/f.u.
energy of formation from the pure elements = -0.414 eV per atom
final energy = -124.58 eV/cell
mass density = 8.27 g/cm³

a b c (Å): 6.0487 6.0487 6.0487
angles (deg): 90.00 90.00 90.00
Space group F-43m (No. 216)
Asymmetric unit:
Ti: 0.0000 0.0000 0.0000 [4 per cell]
Cr: 0.2500 0.2500 0.2500 [4 per cell]
Ge: 0.0000 0.0000 0.5000 [4 per cell]
Rh: 0.2500 0.2500 0.7500 [4 per cell]